1.
Sc2NiIr after structural relaxation. Source: Alexandria via LeMat-Bulk, functional PBE.

The structure in POSCAR format:
```
Sc2NiIr
1.0
3.074 0.000 0.000
0.000 4.171 0.000
0.000 0.000 5.411
Sc Ir Ni
2 1 1
direct
0.500 0.500 0.309
0.000 0.000 0.944
0.000 0.000 0.451
0.500 0.500 0.796
```



2.
KPPt3 after structural relaxation. Source: Alexandria via LeMat-Bulk, functional PBE.

The structure in POSCAR format:
```
KPPt3
1.0
-3.513 -3.415 -0.343
1.615 -1.212 -4.477
3.029 -3.315 1.989
Pt K P
3 1 1
direct
0.000 0.000 0.500
0.000 0.500 0.000
0.500 0.000 0.000
0.000 0.000 0.000
0.500 0.500 0.500
```



3.
Mg3MnPd after structural relaxation. Source: Alexandria via LeMat-Bulk, functional PBE.

The structure in POSCAR format:
```
Mg3MnPd
1.0
-1.738 4.125 -2.029
-2.225 -2.653 -3.487
-4.022 -0.315 2.806
Mg Mn Pd
3 1 1
direct
0.000 0.000 0.500
0.500 0.000 0.000
0.000 0.500 0.000
0.000 0.000 0.000
0.500 0.500 0.500
```



4.
LaGdZn after structural relaxation. Source: Alexandria via LeMat-Bulk, functional PBE.

The structure in POSCAR format:
```
LaGdZn
1.0
3.757 0.000 0.000
0.000 5.084 0.000
0.000 -2.542 4.403
Gd La Zn
1 1 1
direct
0.080 0.000 0.000
0.645 0.667 0.333
0.275 0.333 0.667
```



no.,energy of formation from the pure elements (eV per atom),offset from the most stable computed form (meV per atom)
1,-0.483,318
2,2.385,2698
3,0.760,519
4,-0.068,145